[1]
A plane-wave DFT calculation with PBE was carried out for a relaxed structure of TaCrGe2.

a b c (Å): 3.7733 3.7733 18.5057
angles (deg): 90.00 90.00 90.00
Closest atoms and distances in Å follow each position.
Space group I-42d (No. 122)
Asymmetric unit:
Ta 0.0000 0.0000 0.0000 x4  4 Cr 2.67, 4 Ge 2.68
Cr 0.0000 0.0000 0.5000 x4  4 Ge 2.66, 4 Ta 2.67
Ge 0.2417 0.2500 0.6250 x8  4 Ge 2.62-2.71, 2 Cr 2.66, 2 Ta 2.68

Results
For the volume, the calculation gives 16.468 A^3/atom. The energy above the most stable polymorph in this dataset comes out at 224 meV/atom. The total magnetization is 0.00 Bohr magnetons per cell.

[2]
A plane-wave DFT calculation with PBE was carried out for a relaxed structure of Ta2CrGe2.

a b c (Å): 6.4454 6.4454 3.7824
angles (deg): 90.00 90.00 90.00
Closest atoms and distances in Å follow each position.
Space group P4/mbm (No. 127)
Asymmetric unit:
Ta 0.1646 0.3354 0.0000 x4  6 Ge 2.59-2.74
Cr 0.0000 0.0000 0.5000 x2  4 Ge 2.49
Ge 0.1411 0.6411 0.5000 x4  2 Cr 2.49, 1 Ge 2.57, 6 Ta 2.59-2.74

Results
For the volume, the calculation gives 15.713 A^3/atom. The total magnetization is 0.00 Bohr magnetons per cell. The total energy is -8.61 eV/atom.

[3]
A plane-wave DFT calculation with PBE was carried out for a relaxed structure of TaCr4Ge.

a b c (Å): 6.8285 6.8285 6.8285
angles (deg): 90.00 90.00 90.00
Closest atoms and distances in Å follow each position.
Space group F-43m (No. 216)
Asymmetric unit:
Ta 0.0000 0.0000 0.0000 x4  12 Cr 2.83, 4 Ge 2.96
Cr 0.1242 0.1242 0.3758 x16  6 Cr 2.40-2.43
Ge 0.2500 0.2500 0.7500 x4  12 Cr 2.83, 4 Ta 2.96

Results
For the volume, the calculation gives 13.267 A^3/atom. The total magnetization is 0.00 Bohr magnetons per cell. The total energy is -9.14 eV/atom.

[4]
A plane-wave DFT calculation with PBE was carried out for a relaxed structure of TaCr2Ge2.

a b c (Å): 4.4172 4.4172 7.8269
angles (deg): 90.00 90.00 90.00
Closest atoms and distances in Å follow each position.
Space group I4/mmm (No. 139)
Asymmetric unit:
Ta 0.0000 0.0000 0.0000 x2  10 Cr 2.94-3.27, 8 Ge 2.95
Cr 0.0000 0.0000 0.3761 x4  1 Cr 1.94
Ge 0.0000 0.5000 0.2500 x4  4 Cr 2.42

Results
For the volume, the calculation gives 15.272 A^3/atom. The energy above the most stable polymorph in this dataset comes out at 316 meV/atom. The total magnetization is 0.00 Bohr magnetons per cell.

[5]
A plane-wave DFT calculation with PBE was carried out for a relaxed structure of TaCrGe2.

a b c (Å): 4.0746 4.0746 13.4997
angles (deg): 90.00 90.00 120.00
Closest atoms and distances in Å follow each position.
Space group R-3m (No. 166, hexagonal axes)
Asymmetric unit:
Ta 0.0000 0.0000 0.0000 x3  6 Ge 2.68
Cr 0.0000 0.0000 0.5000 x3  6 Ge 2.55
Ge 0.0000 0.0000 0.2387 x6  3 Cr 2.55, 3 Ta 2.68

Results
For the volume, the calculation gives 16.175 A^3/atom. The energy above the most stable polymorph in this dataset comes out at 0 meV/atom. The total magnetization is 7.99 Bohr magnetons per cell.

[6]
A plane-wave DFT calculation with PBE was carried out for a relaxed structure of TaZn2CrGe.

a b c (Å): 4.5229 4.5229 4.5493
angles (deg): 90.00 90.00 90.00
Closest atoms and distances in Å follow each position.
Space group P4/mmm (No. 123)
Asymmetric unit:
Ta 0.0000 0.0000 0.0000 x1  4 Cr 3.20, 8 Zn 3.21
Zn 0.0000 0.5000 0.5000 x2  2 Ge 2.26
Cr 0.5000 0.5000 0.0000 x1  2 Ge 2.27
Ge 0.5000 0.5000 0.5000 x1  4 Zn 2.26, 2 Cr 2.27

Results
For the volume, the calculation gives 18.613 A^3/atom. The total magnetization is 2.07 Bohr magnetons per cell. The total energy is -4.62 eV/atom.